[1]
## TbCeNd6 (PBE)

Data for a geometry-optimized TbCeNd6 structure.

Lattice parameters (Å, degrees): 6.312 6.312 8.170 105.02 105.02 109.23
Fractional positions:
Tb 0.500 0.500 0.000
Nd 0.248 0.248 0.495
Nd 0.378 0.878 0.756
Nd 0.622 0.122 0.244
Nd 0.752 0.752 0.505
Nd 0.878 0.378 0.756
Nd 0.122 0.622 0.244
Ce 0.000 0.000 0.000

Summary:
Symmetry   No. 69
Formation energy from the elements   0.048 eV per atom

[2]
## CaTb2ThAs4 (PBE)

Data for a geometry-optimized CaTb2ThAs4 structure.

Lattice parameters (Å, degrees): 4.213 7.244 7.284 109.22 90.00 90.00
Fractional positions:
Ca 0.500 0.500 0.000
As 0.000 0.244 0.744
As 0.500 0.251 0.255
As 0.000 0.756 0.256
As 0.500 0.749 0.745
Tb 0.000 0.500 0.500
Tb 0.500 0.000 0.500
Th 0.000 0.000 0.000

Summary:
Symmetry   No. 10
Formation energy from the elements   -1.430 eV per atom

[3]
## Pa2NbGeN6 (PBE)

Data for a geometry-optimized Pa2NbGeN6 structure.

Lattice parameters (Å, degrees): 4.932 5.279 5.279 90.00 90.00 90.00
Fractional positions:
Ge 0.572 0.000 0.000
Pa 0.997 0.500 0.000
Pa 0.997 0.000 0.500
N 0.199 0.000 0.000
N 0.731 0.755 0.245
N 0.731 0.755 0.755
N 0.183 0.500 0.500
N 0.731 0.245 0.245
N 0.731 0.245 0.755
Nb 0.573 0.500 0.500

Summary:
ΔE_f (raw)   -0.826 eV/atom
Symmetry   No. 99

[4]
## NaP2S2 (PBE)

Data for a geometry-optimized NaP2S2 structure.

Lattice parameters (Å, degrees): 5.004 5.004 5.207 61.28 61.28 90.00
Fractional positions:
S 0.250 0.750 0.500
S 0.750 0.250 0.500
P 0.354 0.354 0.292
P 0.646 0.646 0.708
Na 0.000 0.000 0.000

Summary:
ΔE_f (raw)   0.106 eV/atom
Symmetry   No. 139
E above lowest polymorph   160 meV/atom

[5]
## Y2HfPd (PBE)

Data for a geometry-optimized Y2HfPd structure.

Lattice parameters (Å, degrees): 3.495 3.495 7.930 90.00 90.00 90.00
Fractional positions:
Pd 0.500 0.500 0.000
Y 0.000 0.000 0.220
Y 0.000 0.000 0.780
Hf 0.500 0.500 0.500

Summary:
Symmetry   No. 123
Formation energy from the elements   -0.322 eV per atom
E above lowest polymorph   0 meV/atom

[6]
## MnNb2HgIr (PBE)

Data for a geometry-optimized MnNb2HgIr structure.

Lattice parameters (Å, degrees): 4.974 4.873 4.974 90.00 90.00 90.00
Fractional positions:
Nb 0.000 0.000 0.500
Nb 0.500 0.000 0.000
Ir 0.000 0.500 0.000
Mn 0.500 0.500 0.500
Hg 0.000 0.000 0.000

Summary:
Symmetry   No. 123
Formation energy from the elements   2.533 eV per atom

[7]
## CeDyI (PBE)

Data for a geometry-optimized CeDyI structure.

Lattice parameters (Å, degrees): 3.670 7.256 7.476 77.05 90.00 104.65
Fractional positions:
Dy 0.797 0.594 0.168
Dy 0.203 0.406 0.832
Ce 0.469 0.937 0.845
Ce 0.531 0.063 0.155
I 0.867 0.734 0.550
I 0.133 0.266 0.450

Summary:
ΔE_f (raw)   -0.407 eV/atom
Symmetry   No. 12
E above lowest polymorph   0 meV/atom

[8]
## Mn2VMo2 (PBE)

Data for a geometry-optimized Mn2VMo2 structure.

Lattice parameters (Å, degrees): 6.875 6.875 2.925 90.00 90.00 90.00
Fractional positions:
Mo 0.669 0.831 0.500
Mo 0.831 0.331 0.500
Mo 0.331 0.169 0.500
Mo 0.169 0.669 0.500
V 0.000 0.000 0.000
V 0.500 0.500 0.000
Mn 0.136 0.364 0.000
Mn 0.364 0.864 0.000
Mn 0.864 0.636 0.000
Mn 0.636 0.136 0.000

Summary:
Symmetry   No. 127
Formation energy from the elements   0.281 eV per atom

[9]
## LiLaY2As (PBE)

Data for a geometry-optimized LiLaY2As structure.

Lattice parameters (Å, degrees): 5.817 5.687 5.817 90.00 90.00 90.00
Fractional positions:
Y 0.000 0.000 0.500
Y 0.500 0.000 0.000
La 0.000 0.000 0.000
As 0.000 0.500 0.000
Li 0.500 0.500 0.500

Summary:
Symmetry   No. 123
Formation energy from the elements   0.680 eV per atom

[10]
## NaLaAu3 (PBE)

Data for a geometry-optimized NaLaAu3 structure.

Lattice parameters (Å, degrees): 3.712 4.807 13.839 90.00 97.71 90.00
Fractional positions:
Au 0.676 0.250 0.352
Au 0.625 0.750 0.249
Au 0.476 0.250 0.952
Au 0.524 0.750 0.048
Au 0.324 0.750 0.648
Au 0.375 0.250 0.751
La 0.076 0.250 0.151
La 0.924 0.750 0.849
Na 0.212 0.750 0.424
Na 0.788 0.250 0.576

Summary:
Symmetry   No. 63
Formation energy from the elements   -0.586 eV per atom
E above lowest polymorph   0 meV/atom

[11]
## PrHo2Pd (PBE)

Data for a geometry-optimized PrHo2Pd structure.

Lattice parameters (Å, degrees): 6.558 7.130 9.729 90.00 90.00 90.00
Fractional positions:
Ho 0.172 0.679 0.061
Ho 0.672 0.821 0.561
Ho 0.828 0.321 0.561
Ho 0.672 0.821 0.939
Ho 0.328 0.179 0.061
Ho 0.172 0.679 0.439
Ho 0.328 0.179 0.439
Ho 0.828 0.321 0.939
Pd 0.420 0.887 0.250
Pd 0.580 0.113 0.750
Pd 0.920 0.613 0.750
Pd 0.080 0.387 0.250
Pr 0.365 0.484 0.750
Pr 0.135 0.984 0.750
Pr 0.865 0.016 0.250
Pr 0.635 0.516 0.250

Summary:
Symmetry   No. 62
Formation energy from the elements   -0.454 eV per atom
E above lowest polymorph   0 meV/atom

[12]
## NaGa9Rh2 (PBE)

Data for a geometry-optimized NaGa9Rh2 structure.

Lattice parameters (Å, degrees): 3.702 8.307 8.307 120.00 90.00 90.00
Fractional positions:
Ga 0.000 0.500 0.500
Ga 0.500 0.804 0.608
Ga 0.500 0.392 0.196
Ga 0.500 0.608 0.804
Ga 0.500 0.196 0.392
Ga 0.500 0.804 0.196
Ga 0.500 0.196 0.804
Ga 0.000 0.500 0.000
Ga 0.000 0.000 0.500
Rh 0.000 0.333 0.667
Rh 0.000 0.667 0.333
Na 0.000 0.000 0.000

Summary:
Symmetry   No. 191
Formation energy from the elements   -0.333 eV per atom
E above lowest polymorph   0 meV/atom

Q: Which total energy values were calculated for the entries above? A: -4.85 -6.09 -9.19 -3.97 -7.34 -5.16 -4.44 -9.54 -4.20 -3.80 -5.24 -3.94, in eV/atom.